No. 1
The following is a DFT calculation (PBE) of crystalline Na2ScIn at its relaxed geometry.

a = 8.7196 Å, b = 8.7196 Å, c = 6.8697 Å
α = 50.61°, β = 50.61°, γ = 90.00°
Last column: nearest neighbours and their distance in Å.
Atoms (fractional coordinates):
In 0.0000 0.0000 0.0000  2 Sc 3.03, 4 Na 3.04
Sc 0.2500 0.7500 0.5000  2 In 3.03, 4 Na 3.32
Na 0.1020 0.6250 0.2500  2 In 3.04, 2 Na 3.06, 2 Sc 3.32
Na 0.8750 0.8980 0.7500  2 In 3.04, 2 Na 3.06, 2 Sc 3.32
In 0.7500 0.2500 0.5000  2 Sc 3.03, 4 Na 3.04
Na 0.3750 0.3520 0.7500  2 In 3.04, 2 Na 3.06, 2 Sc 3.32
Sc 0.5000 0.5000 0.0000  2 In 3.03, 4 Na 3.32
Na 0.6480 0.1250 0.2500  2 In 3.04, 2 Na 3.06, 2 Sc 3.32

## Properties
Total DFT energy (no corrections) in eV per atom: -2.622
Energy relative to the elements in kJ/mol of atoms: 29

---

No. 2
The following is a DFT calculation (PBE) of crystalline NaScIn2 at its relaxed geometry.

a = 3.5729 Å, b = 3.5729 Å, c = 7.6802 Å
α = 90.00°, β = 90.00°, γ = 90.00°
Last column: nearest neighbours and their distance in Å.
Atoms (fractional coordinates):
In 0.0000 0.0000 0.2321  4 Sc 3.09, 4 Na 3.26
Sc 0.5000 0.5000 0.0000  8 In 3.09
In 0.0000 0.0000 0.7679  4 Sc 3.09, 4 Na 3.26
Na 0.5000 0.5000 0.5000  8 In 3.26, 4 Na 3.57

## Properties
Total DFT energy (no corrections) in eV per atom: -3.511
Relative energy among the computed polymorphs in eV/f.u.: 0.10
Energy relative to the elements in kJ/mol of atoms: -22